A relaxed Pm12Ho7Er crystal. Source: the Alexandria database, functional PBE.

Calculated values
Total moment in μB per cell: 0.000
Formation energy from the elements in eV per formula unit: 4.7
Total energy in eV per atom: -4.448
Volume in Å³ per atom: 33.8

a = 8.782 Å, b = 8.782 Å, c = 8.782 Å
α = 87.65°, β = 87.65°, γ = 87.65°
Element x y z (fractional)
Pm 0.010 0.362 0.887
Pm 0.113 0.990 0.638
Pm 0.227 0.756 0.351
Pm 0.244 0.649 0.773
Pm 0.351 0.227 0.756
Pm 0.362 0.887 0.010
Pm 0.638 0.113 0.990
Pm 0.649 0.773 0.244
Pm 0.756 0.351 0.227
Pm 0.773 0.244 0.649
Pm 0.887 0.010 0.362
Pm 0.990 0.638 0.113
Ho 0.000 0.000 0.000
Ho 0.109 0.352 0.430
Ho 0.352 0.430 0.109
Ho 0.430 0.109 0.352
Ho 0.570 0.891 0.648
Ho 0.648 0.570 0.891
Ho 0.891 0.648 0.570
Er 0.500 0.500 0.500

---

A relaxed CeHoNi2P2 crystal. Source: the Alexandria database, functional PBE.

Calculated values
Total moment in μB per cell: 0.560
Formation energy from the elements in eV per formula unit: -7.2
Total energy in eV per atom: -6.682
Volume in Å³ per atom: 17.2

a = 3.917 Å, b = 3.917 Å, c = 7.766 Å
α = 90.00°, β = 90.00°, γ = 120.00°
Element x y z (fractional)
Ce 0.000 0.000 0.000
Ho 0.000 0.000 0.500
Ni 0.333 0.667 0.756
Ni 0.667 0.333 0.244
P 0.333 0.667 0.260
P 0.667 0.333 0.740

---

A relaxed Rb5Tl2O crystal. Source: the Alexandria database, functional PBE.

Calculated values
Total moment in μB per cell: 0.000
Energy relative to the elements, uncorrected in eV per atom: -0.35
Total energy in eV per atom: -2.167
Volume in Å³ per atom: 45.2

a = 12.392 Å, b = 10.604 Å, c = 6.423 Å
α = 90.00°, β = 121.14°, γ = 90.00°
Element x y z (fractional)
Rb 0.000 0.000 0.000
Rb 0.177 0.177 0.677
Rb 0.177 0.823 0.677
Rb 0.323 0.323 0.323
Rb 0.323 0.677 0.323
Rb 0.500 0.500 0.000
Rb 0.677 0.323 0.677
Rb 0.677 0.677 0.677
Rb 0.823 0.177 0.323
Rb 0.823 0.823 0.323
Tl 0.000 0.500 0.248
Tl 0.000 0.500 0.748
Tl 0.500 0.000 0.248
Tl 0.500 0.000 0.748
O 0.000 0.000 0.500
O 0.500 0.500 0.500

---

A relaxed K3YBi2Se6 crystal. Source: the Alexandria database, functional PBE.

Calculated values
Total moment in μB per cell: 0.000
Energy relative to the elements, uncorrected in eV per atom: -1.13
Total energy in eV per atom: -4.330
Volume in Å³ per atom: 30.8

a = 7.436 Å, b = 7.436 Å, c = 8.099 Å
α = 98.80°, β = 98.80°, γ = 119.99°
Element x y z (fractional)
K 0.000 0.000 0.000
K 0.330 0.670 0.000
K 0.670 0.330 0.000
Y 0.500 0.500 0.500
Bi 0.166 0.834 0.500
Bi 0.834 0.166 0.500
Se 0.104 0.430 0.291
Se 0.244 0.244 0.710
Se 0.430 0.104 0.291
Se 0.570 0.896 0.709
Se 0.756 0.756 0.290
Se 0.896 0.570 0.709

---

A relaxed GdHo2Tl crystal. Source: the Alexandria database, functional PBE.

Calculated values
Total moment in μB per cell: 34.062
Formation energy from the elements in eV per formula unit: -0.2
Total energy in eV per atom: -6.439
Volume in Å³ per atom: 28.5

a = 7.700 Å, b = 7.700 Å, c = 7.700 Å
α = 90.00°, β = 90.00°, γ = 90.00°
Element x y z (fractional)
Gd 0.000 0.000 0.000
Gd 0.000 0.500 0.500
Gd 0.500 0.000 0.500
Gd 0.500 0.500 0.000
Ho 0.250 0.250 0.250
Ho 0.250 0.250 0.750
Ho 0.250 0.750 0.250
Ho 0.250 0.750 0.750
Ho 0.750 0.250 0.250
Ho 0.750 0.250 0.750
Ho 0.750 0.750 0.250
Ho 0.750 0.750 0.750
Tl 0.000 0.000 0.500
Tl 0.000 0.500 0.000
Tl 0.500 0.000 0.000
Tl 0.500 0.500 0.500

---

A relaxed La2TbSn3 crystal. Source: the Alexandria database, functional PBE.

Calculated values
Total moment in μB per cell: 0.000
Formation energy from the elements in eV per formula unit: -3.6
Total energy in eV per atom: -5.023
Volume in Å³ per atom: 32.6

a = 5.297 Å, b = 6.450 Å, c = 11.442 Å
α = 90.00°, β = 90.00°, γ = 90.00°
Element x y z (fractional)
La 0.000 0.000 0.174
La 0.000 0.000 0.826
La 0.500 0.500 0.326
La 0.500 0.500 0.674
Tb 0.000 0.000 0.500
Tb 0.500 0.500 0.000
Sn 0.000 0.500 0.144
Sn 0.000 0.500 0.500
Sn 0.000 0.500 0.856
Sn 0.500 0.000 0.000
Sn 0.500 0.000 0.356
Sn 0.500 0.000 0.644

---

A relaxed Nd3BiAs2 crystal. Source: the Alexandria database, functional PBE.

Calculated values
Total moment in μB per cell: 0.000
Formation energy from the elements in eV per formula unit: -5.6
Total energy in eV per atom: -5.517
Volume in Å³ per atom: 29.4

a = 6.981 Å, b = 6.981 Å, c = 10.327 Å
α = 90.00°, β = 90.00°, γ = 135.53°
Element x y z (fractional)
Nd 0.100 0.900 0.750
Nd 0.374 0.626 0.549
Nd 0.374 0.626 0.951
Nd 0.626 0.374 0.049
Nd 0.626 0.374 0.451
Nd 0.900 0.100 0.250
Bi 0.219 0.781 0.250
Bi 0.781 0.219 0.750
As 0.000 0.000 0.000
As 0.000 0.000 0.500
As 0.467 0.533 0.250
As 0.533 0.467 0.750

---

A relaxed Pr2CuBr2 crystal. Source: the Alexandria database, functional PBE.

Calculated values
Total moment in μB per cell: 2.179
Energy relative to the elements, uncorrected in eV per atom: -1.02
Total energy in eV per atom: -4.415
Volume in Å³ per atom: 33.5

a = 4.149 Å, b = 4.149 Å, c = 33.683 Å
α = 90.00°, β = 90.00°, γ = 120.00°
Element x y z (fractional)
Pr 0.000 0.000 0.114
Pr 0.000 0.000 0.886
Pr 0.333 0.667 0.552
Pr 0.333 0.667 0.781
Pr 0.667 0.333 0.219
Pr 0.667 0.333 0.448
Cu 0.000 0.000 0.500
Cu 0.333 0.667 0.167
Cu 0.667 0.333 0.833
Br 0.000 0.000 0.276
Br 0.000 0.000 0.724
Br 0.333 0.667 0.391
Br 0.333 0.667 0.943
Br 0.667 0.333 0.057
Br 0.667 0.333 0.609

---

A relaxed LaMoPb2 crystal. Source: the Alexandria database, functional PBE.

Calculated values
Total moment in μB per cell: 1.088
Formation energy from the elements in eV per formula unit: 1.2
Total energy in eV per atom: -5.487
Volume in Å³ per atom: 26.9

a = 3.709 Å, b = 3.709 Å, c = 7.809 Å
α = 90.00°, β = 90.00°, γ = 90.00°
Element x y z (fractional)
La 0.000 0.000 0.000
Mo 0.500 0.500 0.262
Pb 0.000 0.000 0.418
Pb 0.500 0.500 0.679

---

A relaxed Eu2H4Pd crystal. Source: the Alexandria database, functional PBE.

Calculated values
Total moment in μB per cell: 56.000
Total energy in eV per atom: -6.154
Volume in Å³ per atom: 13.5

a = 7.434 Å, b = 5.361 Å, c = 9.469 Å
α = 90.00°, β = 90.00°, γ = 90.00°
Element x y z (fractional)
Eu 0.007 0.250 0.170
Eu 0.150 0.750 0.411
Eu 0.350 0.250 0.911
Eu 0.493 0.750 0.670
Eu 0.507 0.250 0.330
Eu 0.650 0.750 0.089
Eu 0.850 0.250 0.589
Eu 0.993 0.750 0.830
H 0.001 0.250 0.897
H 0.170 0.250 0.408
H 0.180 0.533 0.657
H 0.180 0.967 0.657
H 0.320 0.033 0.157
H 0.320 0.467 0.157
H 0.330 0.750 0.908
H 0.499 0.750 0.397
H 0.501 0.250 0.603
H 0.670 0.250 0.092
H 0.680 0.533 0.843
H 0.680 0.967 0.843
H 0.820 0.033 0.343
H 0.820 0.467 0.343
H 0.830 0.750 0.592
H 0.999 0.750 0.103
Pd 0.239 0.750 0.087
Pd 0.261 0.250 0.587
Pd 0.739 0.750 0.413
Pd 0.761 0.250 0.913

---

A relaxed Hg4BrCl crystal. Source: the Alexandria database, functional PBE.

Calculated values
Total moment in μB per cell: 0.000
Energy relative to the elements, uncorrected in eV per atom: -0.25
Total energy in eV per atom: -1.033
Volume in Å³ per atom: 30.7

a = 9.879 Å, b = 9.879 Å, c = 5.428 Å
α = 104.37°, β = 104.37°, γ = 124.69°
Element x y z (fractional)
Hg 0.001 0.404 0.138
Hg 0.247 0.335 0.011
Hg 0.335 0.247 0.511
Hg 0.404 0.001 0.638
Hg 0.596 0.999 0.362
Hg 0.665 0.753 0.489
Hg 0.753 0.665 0.989
Hg 0.999 0.596 0.862
Br 0.332 0.668 0.750
Br 0.668 0.332 0.250
Cl 0.121 0.879 0.750
Cl 0.879 0.121 0.250

---

A relaxed CsTe2HN crystal. Source: the Alexandria database, functional PBE.

Calculated values
Total moment in μB per cell: 6.267
Total energy in eV per atom: -1.802
Volume in Å³ per atom: 53.4

a = 7.475 Å, b = 7.475 Å, c = 4.776 Å
α = 90.00°, β = 90.00°, γ = 90.00°
Element x y z (fractional)
Cs 0.000 0.000 0.000
Te 0.000 0.500 0.000
Te 0.500 0.000 0.000
H 0.500 0.500 0.500
N 0.000 0.000 0.500

---

A relaxed Tl2Hg6Au crystal. Source: the Alexandria database, functional PBE.

Calculated values
Total moment in μB per cell: 0.000
Formation energy from the elements in eV per formula unit: 0.1
Total energy in eV per atom: -1.082
Volume in Å³ per atom: 27.5

a = 5.284 Å, b = 3.579 Å, c = 13.209 Å
α = 90.00°, β = 97.40°, γ = 90.00°
Element x y z (fractional)
Tl 0.000 0.000 0.000
Tl 0.386 0.000 0.672
Hg 0.204 0.500 0.214
Hg 0.303 0.500 0.446
Hg 0.444 0.500 0.898
Hg 0.733 0.000 0.293
Hg 0.835 0.000 0.524
Hg 0.905 0.500 0.762
Au 0.657 0.500 0.110

---

A relaxed Li5IrPd6 crystal. Source: the Alexandria database, functional PBE.

Calculated values
Total moment in μB per cell: 0.004
Formation energy from the elements in eV per formula unit: -3.6
Total energy in eV per atom: -4.436
Volume in Å³ per atom: 13.7

a = 7.390 Å, b = 7.390 Å, c = 7.390 Å
α = 146.20°, β = 132.15°, γ = 59.86°
Element x y z (fractional)
Li 0.000 0.000 0.000
Li 0.170 0.670 0.500
Li 0.344 0.344 0.000
Li 0.656 0.656 0.000
Li 0.830 0.330 0.500
Ir 0.500 0.000 0.500
Pd 0.075 0.831 0.244
Pd 0.237 0.500 0.737
Pd 0.413 0.169 0.244
Pd 0.587 0.831 0.756
Pd 0.763 0.500 0.263
Pd 0.925 0.169 0.756

---

A relaxed BaMn2Au crystal. Source: the Alexandria database, functional PBE.

Calculated values
Total moment in μB per cell: 34.158
Formation energy from the elements in eV per formula unit: 2.1
Total energy in eV per atom: -5.362
Volume in Å³ per atom: 23.0

a = 7.169 Å, b = 7.169 Å, c = 7.169 Å
α = 90.00°, β = 90.00°, γ = 90.00°
Element x y z (fractional)
Ba 0.000 0.000 0.000
Ba 0.000 0.500 0.500
Ba 0.500 0.000 0.500
Ba 0.500 0.500 0.000
Mn 0.250 0.250 0.250
Mn 0.250 0.250 0.750
Mn 0.250 0.750 0.250
Mn 0.250 0.750 0.750
Mn 0.750 0.250 0.250
Mn 0.750 0.250 0.750
Mn 0.750 0.750 0.250
Mn 0.750 0.750 0.750
Au 0.000 0.000 0.500
Au 0.000 0.500 0.000
Au 0.500 0.000 0.000
Au 0.500 0.500 0.500

---

A relaxed CdCu2Bi2 crystal. Source: the Alexandria database, functional PBE.

Calculated values
Total moment in μB per cell: 0.000
Formation energy from the elements in eV per formula unit: 1.4
Total energy in eV per atom: -3.090
Volume in Å³ per atom: 23.3

a = 8.344 Å, b = 8.344 Å, c = 3.342 Å
α = 90.00°, β = 90.00°, γ = 90.00°
Element x y z (fractional)
Cd 0.000 0.000 0.000
Cd 0.500 0.500 0.000
Cu 0.107 0.393 0.500
Cu 0.393 0.893 0.500
Cu 0.607 0.107 0.500
Cu 0.893 0.607 0.500
Bi 0.180 0.680 0.000
Bi 0.320 0.180 0.000
Bi 0.680 0.820 0.000
Bi 0.820 0.320 0.000

---

A relaxed La2GaSn crystal. Source: the Alexandria database, functional PBE.

Calculated values
Total moment in μB per cell: 0.988
Formation energy from the elements in eV per formula unit: -2.9
Total energy in eV per atom: -4.944
Volume in Å³ per atom: 30.3

a = 6.378 Å, b = 4.341 Å, c = 9.217 Å
α = 90.00°, β = 108.25°, γ = 90.00°
Element x y z (fractional)
La 0.201 0.250 0.424
La 0.280 0.750 0.064
La 0.720 0.250 0.936
La 0.799 0.750 0.576
Ga 0.135 0.250 0.788
Ga 0.865 0.750 0.212
Sn 0.366 0.750 0.713
Sn 0.634 0.250 0.287

---

A relaxed YSc3C2 crystal. Source: the Alexandria database, functional PBE.

Calculated values
Total moment in μB per cell: 0.000
Formation energy from the elements in eV per formula unit: -0.4
Total energy in eV per atom: -7.392
Volume in Å³ per atom: 16.2

a = 5.792 Å, b = 5.792 Å, c = 5.792 Å
α = 89.68°, β = 89.68°, γ = 89.68°
Element x y z (fractional)
Y 0.249 0.249 0.249
Y 0.751 0.751 0.751
Sc 0.250 0.250 0.749
Sc 0.250 0.749 0.250
Sc 0.251 0.750 0.750
Sc 0.749 0.250 0.250
Sc 0.750 0.251 0.750
Sc 0.750 0.750 0.251
C 0.000 0.000 0.000
C 0.000 0.500 0.500
C 0.500 0.000 0.500
C 0.500 0.500 0.000

---

A relaxed HoMgAl2Ag4 crystal. Source: the Alexandria database, functional PBE.

Calculated values
Total moment in μB per cell: 0.000
Formation energy from the elements in eV per formula unit: -1.7
Total energy in eV per atom: -3.349
Volume in Å³ per atom: 18.8

a = 8.456 Å, b = 8.456 Å, c = 8.456 Å
α = 31.94°, β = 31.94°, γ = 31.94°
Element x y z (fractional)
Ho 0.000 0.000 0.000
Mg 0.500 0.500 0.500
Al 0.252 0.252 0.252
Al 0.748 0.748 0.748
Ag 0.129 0.129 0.129
Ag 0.388 0.388 0.388
Ag 0.612 0.612 0.612
Ag 0.871 0.871 0.871

---

A relaxed AcLa6Pr2Tm crystal. Source: the Alexandria database, functional PBE.

Calculated values
Total moment in μB per cell: 0.000
Formation energy from the elements in eV per formula unit: 1.1
Total energy in eV per atom: -4.657
Volume in Å³ per atom: 36.9

a = 9.236 Å, b = 9.236 Å, c = 9.488 Å
α = 91.21°, β = 91.21°, γ = 114.23°
Element x y z (fractional)
Ac 0.064 0.936 0.750
Ac 0.936 0.064 0.250
La 0.028 0.469 0.321
La 0.080 0.767 0.086
La 0.233 0.920 0.414
La 0.284 0.565 0.900
La 0.435 0.716 0.600
La 0.469 0.028 0.821
La 0.531 0.972 0.179
La 0.565 0.284 0.400
La 0.716 0.435 0.100
La 0.767 0.080 0.586
La 0.920 0.233 0.914
La 0.972 0.531 0.679
Pr 0.210 0.303 0.562
Pr 0.303 0.210 0.062
Pr 0.697 0.790 0.938
Pr 0.790 0.697 0.438
Tm 0.425 0.575 0.250
Tm 0.575 0.425 0.750